Record 1
Computed, not measured: a geometry-optimized CaHo2Ga structure at the GGA-PBE level of DFT.

a = 4.6633 Å, b = 4.8103 Å, c = 4.8103 Å
α = 90.00°, β = 90.00°, γ = 90.00°
Sites, in units of the cell vectors:
Ho  0.0000  0.0000  0.5000
Ga  0.5000  0.5000  0.5000
Ca  0.5000  0.0000  0.0000
Ho  0.0000  0.5000  0.0000

Calculated values
relative energy among the computed polymorphs = 84 meV/atom
DFT formation energy = -59 kJ/mol of formula units

=====

Record 2
Computed, not measured: a geometry-optimized Tl2Co structure at the GGA-PBE level of DFT.

a = 6.1070 Å, b = 6.1070 Å, c = 6.1070 Å
α = 60.00°, β = 60.00°, γ = 60.00°
Sites, in units of the cell vectors:
Tl  0.1250  0.1250  0.1250
Tl  0.1250  0.6250  0.1250
Co  0.5000  0.5000  0.5000
Tl  0.6250  0.1250  0.1250
Tl  0.1250  0.1250  0.6250
Co  0.7500  0.7500  0.7500

Calculated values
DFT formation energy = 342 kJ/mol of formula units

=====

Q: What is the DFT formation energy in the second record?
A: 342 kJ/mol of formula units

=====

Q: What is the DFT formation energy in the first record?
A: -59 kJ/mol of formula units

=====

Q: The lowest DFT formation energy belongs to which entry?
A: CaHo2Ga

=====

Repeat the first record exactly.
Computed, not measured: a geometry-optimized CaHo2Ga structure at the GGA-PBE level of DFT.

a = 4.6633 Å, b = 4.8103 Å, c = 4.8103 Å
α = 90.00°, β = 90.00°, γ = 90.00°
Sites, in units of the cell vectors:
Ho  0.0000  0.0000  0.5000
Ga  0.5000  0.5000  0.5000
Ca  0.5000  0.0000  0.0000
Ho  0.0000  0.5000  0.0000

Calculated values
relative energy among the computed polymorphs = 84 meV/atom
DFT formation energy = -59 kJ/mol of formula units